[1]
# NiAuSN2

A relaxed NiAuSN2 crystal (PBE, Alexandria via LeMat-Bulk).

Unit cell a=3.5102 b=3.5102 c=7.4547 alpha=90.00 beta=90.00 gamma=90.00
Space group P4/mmm (No. 123)
Asymmetric unit:
Ni  0.0000  0.0000  0.0000 [1 per cell]
Au  0.5000  0.5000  0.5000 [1 per cell]
S  0.0000  0.0000  0.5000 [1 per cell]
N  0.0000  0.5000  0.0000 [2 per cell]

Summary:
- Polymorph energy (0 for the lowest one): 0.000 eV/f.u.
- Formation energy from raw total energies: 1.217 eV per atom
- Electronic total energy: -23.75 eV/cell

[2]
# NiAuS2N

A relaxed NiAuS2N crystal (PBE, Alexandria via LeMat-Bulk).

Unit cell a=4.7696 b=4.7696 c=3.3868 alpha=90.00 beta=90.00 gamma=90.00
Space group P4/mmm (No. 123)
Asymmetric unit:
Ni  0.0000  0.0000  0.0000 [1 per cell]
Au  0.5000  0.5000  0.5000 [1 per cell]
S  0.0000  0.5000  0.0000 [2 per cell]
N  0.0000  0.0000  0.5000 [1 per cell]

Summary:
- Polymorph energy (0 for the lowest one): 0.000 eV/f.u.
- Formation energy from raw total energies: 0.805 eV per atom
- Electronic total energy: -21.61 eV/cell

[3]
# NiAuS2N

A relaxed NiAuS2N crystal (PBE, Alexandria via LeMat-Bulk).

Unit cell a=5.0190 b=5.0190 c=3.7294 alpha=90.00 beta=90.00 gamma=90.00
Space group P4/mmm (No. 123)
Asymmetric unit:
Ni  0.0000  0.0000  0.0000 [1 per cell]
Au  0.5000  0.5000  0.5000 [1 per cell]
S  0.0000  0.5000  0.5000 [2 per cell]
N  0.5000  0.5000  0.0000 [1 per cell]

Summary:
- Polymorph energy (0 for the lowest one): 3.543 eV/f.u.
- Formation energy from raw total energies: 1.514 eV per atom
- Electronic total energy: -18.07 eV/cell

[4]
# NiAuSN2

A relaxed NiAuSN2 crystal (PBE, Alexandria via LeMat-Bulk).

Unit cell a=3.8656 b=3.8656 c=6.2464 alpha=90.00 beta=90.00 gamma=90.00
Space group P4/mmm (No. 123)
Asymmetric unit:
Ni  0.0000  0.0000  0.0000 [1 per cell]
Au  0.5000  0.5000  0.5000 [1 per cell]
S  0.5000  0.5000  0.0000 [1 per cell]
N  0.0000  0.5000  0.5000 [2 per cell]

Summary:
- Polymorph energy (0 for the lowest one): 3.709 eV/f.u.
- Formation energy from raw total energies: 1.959 eV per atom
- Electronic total energy: -20.04 eV/cell

Number 1: M_tot 0.627 Bohr magnetons per cell. Number 2: M_tot 0.625 Bohr magnetons per cell. Number 3: M_tot 1.981 Bohr magnetons per cell. Number 4: M_tot 5.062 Bohr magnetons per cell.